1.
Material: TaPdRu
Method: DFT, PBE
State: optimized geometry

Results
The calculation puts the formation energy at -253 meV per atom. The density of states at the Fermi level is 4.9 states/eV/cell. As for the space group: No. 194. For the spin magnetization, the calculation gives 0.000 Bohr magnetons per cell. The excess energy over the best structure of this formula in the dataset comes out at 0.0 kJ/mol of formula units.

```
TaPdRu
1.0
4.4970 0.0000 0.0000
-2.2485 3.8946 0.0000
0.0000 0.0000 5.4135
Ta Pd Ru
2 2 2
Direct
0.3333 0.6667 0.2500
0.6667 0.3333 0.7500
0.0000 0.0000 0.0000
0.0000 0.0000 0.5000
0.3333 0.6667 0.7500
0.6667 0.3333 0.2500
```



2.
Material: Ta2Pd3Ru
Method: DFT, PBE
State: optimized geometry

Results
The calculation puts the formation energy at -334 meV per atom. The density of states at the Fermi level is 6.4 states/eV/cell. As for the space group: No. 12. For the spin magnetization, the calculation gives 0.000 Bohr magnetons per cell.

```
Ta2Pd3Ru
1.0
6.0279 -1.9302 0.0000
6.0279 1.9302 0.0000
-4.0816 0.0000 8.2283
Ta Pd Ru
4 6 2
Direct
0.0263 0.0263 0.3591
0.2812 0.2812 0.6343
0.7188 0.7188 0.3657
0.9737 0.9737 0.6409
0.1280 0.1280 0.1328
0.2083 0.2083 0.8774
0.4640 0.4640 0.1335
0.5360 0.5360 0.8665
0.7917 0.7917 0.1226
0.8720 0.8720 0.8672
0.3762 0.3762 0.3750
0.6238 0.6238 0.6250
```



3.
Material: Ta2PdRu2
Method: DFT, PBE
State: optimized geometry

Results
The calculation puts the formation energy at -204 meV per atom. The density of states at the Fermi level is 8.3 states/eV/cell. As for the space group: No. 127. For the spin magnetization, the calculation gives 0.000 Bohr magnetons per cell. The excess energy over the best structure of this formula in the dataset comes out at 0.0 kJ/mol of formula units.

```
Ta2PdRu2
1.0
7.3596 0.0000 0.0000
0.0000 7.3596 0.0000
0.0000 0.0000 3.0502
Ta Pd Ru
4 2 4
Direct
0.1616 0.3384 0.0000
0.3384 0.8384 0.0000
0.6616 0.1616 0.0000
0.8384 0.6616 0.0000
0.0000 0.0000 0.5000
0.5000 0.5000 0.5000
0.1368 0.6368 0.5000
0.3632 0.1368 0.5000
0.6368 0.8632 0.5000
0.8632 0.3632 0.5000
```



4.
Material: TaPdRu
Method: DFT, PBE
State: optimized geometry

Results
The calculation puts the formation energy at -210 meV per atom. The density of states at the Fermi level is 4.7 states/eV/cell. As for the space group: No. 12. For the spin magnetization, the calculation gives 0.000 Bohr magnetons per cell. The excess energy over the best structure of this formula in the dataset comes out at 12.4 kJ/mol of formula units.

```
TaPdRu
1.0
6.1371 -1.4998 0.0000
6.1371 1.4998 0.0000
-1.5092 0.0000 5.2289
Ta Pd Ru
2 2 2
Direct
0.1591 0.1591 0.1016
0.8409 0.8409 0.8984
0.4979 0.4979 0.2562
0.5021 0.5021 0.7438
0.1811 0.1811 0.6268
0.8189 0.8189 0.3732
```



5.
Material: Ta2PdRu
Method: DFT, PBE
State: optimized geometry

Results
The calculation puts the formation energy at 237 meV per atom. The density of states at the Fermi level is 9.5 states/eV/cell. As for the space group: No. 122. For the spin magnetization, the calculation gives 0.000 Bohr magnetons per cell.

```
Ta2PdRu
1.0
-3.5540 3.5540 2.7937
3.5540 -3.5540 2.7937
3.5540 3.5540 -2.7937
Ta Pd Ru
4 2 2
Direct
0.1103 0.6250 0.9853
0.3750 0.3603 0.4853
0.6397 0.1250 0.0147
0.8750 0.8897 0.5147
0.2500 0.7500 0.5000
0.5000 0.5000 0.0000
0.0000 0.0000 0.0000
0.7500 0.2500 0.5000
```



6.
Material: Ta2PdRu2
Method: DFT, PBE
State: optimized geometry

Results
The calculation puts the formation energy at -104 meV per atom. The density of states at the Fermi level is 7.0 states/eV/cell. As for the space group: No. 127. For the spin magnetization, the calculation gives 0.000 Bohr magnetons per cell. The excess energy over the best structure of this formula in the dataset comes out at 48.3 kJ/mol of formula units.

```
Ta2PdRu2
1.0
7.4864 0.0000 0.0000
0.0000 7.4864 0.0000
0.0000 0.0000 2.9957
Ta Pd Ru
4 2 4
Direct
0.1520 0.3480 0.0000
0.3480 0.8480 0.0000
0.6520 0.1520 0.0000
0.8480 0.6520 0.0000
0.0000 0.0000 0.0000
0.5000 0.5000 0.0000
0.1446 0.6446 0.5000
0.3554 0.1446 0.5000
0.6446 0.8554 0.5000
0.8554 0.3554 0.5000
```



7.
Material: Ta2PdRu
Method: DFT, PBE
State: optimized geometry

Results
The calculation puts the formation energy at -269 meV per atom. The density of states at the Fermi level is 4.0 states/eV/cell. As for the space group: No. 123. For the spin magnetization, the calculation gives 0.000 Bohr magnetons per cell.

```
Ta2PdRu
1.0
4.0901 0.0000 0.0000
0.0000 4.0901 0.0000
0.0000 0.0000 3.8652
Ta Pd Ru
2 1 1
Direct
0.0000 0.5000 0.0000
0.5000 0.0000 0.0000
0.0000 0.0000 0.5000
0.5000 0.5000 0.5000
```



8.
Material: TmTaPdRu
Method: DFT, PBE
State: optimized geometry

Results
The calculation puts the formation energy at -373 meV per atom. The density of states at the Fermi level is 3.3 states/eV/cell. As for the space group: No. 216. For the spin magnetization, the calculation gives 0.000 Bohr magnetons per cell.

```
TmTaPdRu
1.0
0.0000 3.2927 3.2927
3.2927 0.0000 3.2927
3.2927 3.2927 0.0000
Tm Ta Pd Ru
1 1 1 1
Direct
0.0000 0.0000 0.0000
0.5000 0.5000 0.5000
0.2500 0.2500 0.2500
0.7500 0.7500 0.7500
```



9.
Material: Tb5PdRu2
Method: DFT, PBE
State: optimized geometry

Results
The calculation puts the formation energy at -474 meV per atom. The density of states at the Fermi level is 12.9 states/eV/cell. As for the space group: No. 140. For the spin magnetization, the calculation gives 0.000 Bohr magnetons per cell.

```
Tb5PdRu2
1.0
-3.8420 3.8420 6.5227
3.8420 -3.8420 6.5227
3.8420 3.8420 -6.5227
Tb Pd Ru
10 2 4
Direct
0.0000 0.0000 0.0000
0.0215 0.5215 0.8190
0.2024 0.0215 0.5000
0.2976 0.7976 0.8190
0.4785 0.2976 0.5000
0.5000 0.5000 0.0000
0.5215 0.7024 0.5000
0.7024 0.2024 0.1810
0.7976 0.9785 0.5000
0.9785 0.4785 0.1810
0.2500 0.2500 0.0000
0.7500 0.7500 0.0000
0.1420 0.3580 0.5000
0.3580 0.8580 0.2160
0.6420 0.1420 0.7840
0.8580 0.6420 0.5000
```



10.
Material: Tb4Pd2Ru
Method: DFT, PBE
State: optimized geometry

Results
The calculation puts the formation energy at -592 meV per atom. The density of states at the Fermi level is 4.8 states/eV/cell. As for the space group: No. 65. For the spin magnetization, the calculation gives 0.000 Bohr magnetons per cell.

```
Tb4Pd2Ru
1.0
3.4704 -4.9741 0.0000
3.4704 4.9741 0.0000
0.0000 0.0000 4.8317
Tb Pd Ru
4 2 1
Direct
0.0000 0.5000 0.5000
0.2463 0.2463 0.0000
0.5000 0.0000 0.5000
0.7537 0.7537 0.0000
0.2472 0.7528 0.0000
0.7528 0.2472 0.0000
0.0000 0.0000 0.5000
```



11.
Material: Tb6PdRu5
Method: DFT, PBE
State: optimized geometry

Results
The calculation puts the formation energy at -410 meV per atom. The density of states at the Fermi level is 8.1 states/eV/cell. As for the space group: No. 71. For the spin magnetization, the calculation gives 0.000 Bohr magnetons per cell.

```
Tb6PdRu5
1.0
-2.4265 3.4354 7.2524
2.4265 -3.4354 7.2524
2.4265 3.4354 -7.2524
Tb Pd Ru
6 1 5
Direct
0.0780 0.3310 0.7469
0.2444 0.0000 0.2444
0.4159 0.6690 0.7469
0.5841 0.3310 0.2531
0.7556 0.0000 0.7556
0.9220 0.6690 0.2531
0.5000 0.5000 0.0000
0.0000 0.5000 0.5000
0.1654 0.1654 0.0000
0.3337 0.8337 0.5000
0.6663 0.1663 0.5000
0.8346 0.8346 0.0000
```



12.
Material: Tb5Pd2Ru
Method: DFT, PBE
State: optimized geometry

Results
The calculation puts the formation energy at -579 meV per atom. The density of states at the Fermi level is 12.2 states/eV/cell. As for the space group: No. 55. For the spin magnetization, the calculation gives 0.000 Bohr magnetons per cell.

```
Tb5Pd2Ru
1.0
7.9762 0.0000 0.0000
0.0000 11.9380 0.0000
0.0000 0.0000 4.2096
Tb Pd Ru
10 4 2
Direct
0.0000 0.0000 0.0000
0.1579 0.2996 0.0000
0.1804 0.5844 0.5000
0.3196 0.0844 0.5000
0.3421 0.7996 0.0000
0.5000 0.5000 0.0000
0.6579 0.2004 0.0000
0.6804 0.9156 0.5000
0.8196 0.4156 0.5000
0.8421 0.7004 0.0000
0.0547 0.8290 0.5000
0.4453 0.3290 0.5000
0.5547 0.6710 0.5000
0.9453 0.1710 0.5000
0.0000 0.5000 0.0000
0.5000 0.0000 0.0000
```



13.
Material: Tb3PdRu
Method: DFT, PBE
State: optimized geometry

Results
The calculation puts the formation energy at -507 meV per atom. The density of states at the Fermi level is 6.8 states/eV/cell. As for the space group: No. 2. For the spin magnetization, the calculation gives 0.000 Bohr magnetons per cell. The excess energy over the best structure of this formula in the dataset comes out at 8.3 kJ/mol of formula units.

```
Tb3PdRu
1.0
5.8463 0.0000 0.0000
-2.3981 5.3627 0.0000
-1.7152 -2.6854 7.5926
Tb Pd Ru
6 2 2
Direct
0.0701 0.2150 0.2862
0.2850 0.4281 0.7131
0.3150 0.8154 0.1312
0.6850 0.1846 0.8688
0.7150 0.5719 0.2869
0.9299 0.7850 0.7138
0.2903 0.7870 0.5000
0.7097 0.2130 0.5000
0.2501 0.2501 0.9999
0.7499 0.7499 0.0001
```



14.
Material: Tb6Pd2Ru
Method: DFT, PBE
State: optimized geometry

Results
The calculation puts the formation energy at -489 meV per atom. The density of states at the Fermi level is 15.1 states/eV/cell. As for the space group: No. 14. For the spin magnetization, the calculation gives 0.000 Bohr magnetons per cell.

```
Tb6Pd2Ru
1.0
6.5148 0.0000 0.0000
0.0000 7.4202 0.0000
-6.4629 0.0000 10.0194
Tb Pd Ru
12 4 2
Direct
0.0894 0.1793 0.4316
0.0894 0.3207 0.9316
0.2626 0.6776 0.4338
0.2626 0.8224 0.9338
0.3973 0.0386 0.2484
0.3973 0.4614 0.7484
0.6027 0.5386 0.2516
0.6027 0.9614 0.7516
0.7374 0.1776 0.0662
0.7374 0.3224 0.5662
0.9106 0.6793 0.0684
0.9106 0.8207 0.5684
0.1878 0.1170 0.7483
0.1878 0.3830 0.2483
0.8122 0.6170 0.7517
0.8122 0.8830 0.2517
0.5000 0.0000 0.5000
0.5000 0.5000 0.0000
```



15.
Material: Tb3PdRu
Method: DFT, PBE
State: optimized geometry

Results
The calculation puts the formation energy at -524 meV per atom. The density of states at the Fermi level is 13.7 states/eV/cell. As for the space group: No. 14. For the spin magnetization, the calculation gives 0.000 Bohr magnetons per cell. The excess energy over the best structure of this formula in the dataset comes out at 0.0 kJ/mol of formula units.

```
Tb3PdRu
1.0
8.6459 0.0000 0.0000
0.0000 7.3437 0.0000
-2.5833 0.0000 7.6745
Tb Pd Ru
12 4 4
Direct
0.0392 0.0062 0.2143
0.0392 0.4938 0.7143
0.2724 0.6542 0.1023
0.2724 0.8458 0.6023
0.3549 0.1883 0.9781
0.3549 0.3117 0.4781
0.6451 0.6883 0.5219
0.6451 0.8117 0.0219
0.7276 0.1542 0.3977
0.7276 0.3458 0.8977
0.9608 0.5062 0.2857
0.9608 0.9938 0.7857
0.4111 0.5362 0.8086
0.4111 0.9638 0.3086
0.5889 0.0362 0.6914
0.5889 0.4638 0.1914
0.0815 0.1843 0.5389
0.0815 0.3157 0.0389
0.9185 0.6843 0.9611
0.9185 0.8157 0.4611
```



16.
Material: Tb4Pd3Ru
Method: DFT, PBE
State: optimized geometry

Results
The calculation puts the formation energy at -769 meV per atom. The density of states at the Fermi level is 2.6 states/eV/cell. As for the space group: No. 123. For the spin magnetization, the calculation gives 0.000 Bohr magnetons per cell.

```
Tb4Pd3Ru
1.0
3.4671 0.0000 0.0000
0.0000 3.4671 0.0000
0.0000 0.0000 14.1880
Tb Pd Ru
4 3 1
Direct
0.0000 0.0000 0.1179
0.0000 0.0000 0.3730
0.0000 0.0000 0.6270
0.0000 0.0000 0.8821
0.5000 0.5000 0.2493
0.5000 0.5000 0.5000
0.5000 0.5000 0.7507
0.5000 0.5000 0.0000
```



17.
Material: Tb5PdRu4
Method: DFT, PBE
State: optimized geometry

Results
The calculation puts the formation energy at -444 meV per atom. The density of states at the Fermi level is 6.4 states/eV/cell. As for the space group: No. 123. For the spin magnetization, the calculation gives 0.000 Bohr magnetons per cell.

```
Tb5PdRu4
1.0
3.4407 0.0000 0.0000
0.0000 3.4407 0.0000
0.0000 0.0000 17.0983
Tb Pd Ru
5 1 4
Direct
0.0000 0.0000 0.0000
0.0000 0.0000 0.1976
0.0000 0.0000 0.3943
0.0000 0.0000 0.6057
0.0000 0.0000 0.8024
0.5000 0.5000 0.5000
0.5000 0.5000 0.0993
0.5000 0.5000 0.3008
0.5000 0.5000 0.6992
0.5000 0.5000 0.9007
```



18.
Material: TbTiPdRu
Method: DFT, PBE
State: optimized geometry

Results
The calculation puts the formation energy at -472 meV per atom. The density of states at the Fermi level is 3.5 states/eV/cell. As for the space group: No. 216. For the spin magnetization, the calculation gives 0.006 Bohr magnetons per cell.

```
TbTiPdRu
1.0
0.0000 3.2971 3.2971
3.2971 0.0000 3.2971
3.2971 3.2971 0.0000
Tb Ti Pd Ru
1 1 1 1
Direct
0.0000 0.0000 0.0000
0.5000 0.5000 0.5000
0.7500 0.7500 0.7500
0.2500 0.2500 0.2500
```



19.
Material: TbYPdRu
Method: DFT, PBE
State: optimized geometry

Results
The calculation puts the formation energy at -618 meV per atom. The density of states at the Fermi level is 2.0 states/eV/cell. As for the space group: No. 216. For the spin magnetization, the calculation gives 0.000 Bohr magnetons per cell. The excess energy over the best structure of this formula in the dataset comes out at 12.6 kJ/mol of formula units.

```
TbYPdRu
1.0
0.0000 3.4614 3.4614
3.4614 0.0000 3.4614
3.4614 3.4614 0.0000
Tb Y Pd Ru
1 1 1 1
Direct
0.0000 0.0000 0.0000
0.5000 0.5000 0.5000
0.2500 0.2500 0.2500
0.7500 0.7500 0.7500
```



20.
Material: TbYPdRu
Method: DFT, PBE
State: optimized geometry

Results
The calculation puts the formation energy at -651 meV per atom. The density of states at the Fermi level is 2.2 states/eV/cell. As for the space group: No. 99. For the spin magnetization, the calculation gives 0.000 Bohr magnetons per cell. The excess energy over the best structure of this formula in the dataset comes out at 0.0 kJ/mol of formula units.

```
TbYPdRu
1.0
3.4567 0.0000 0.0000
0.0000 3.4567 0.0000
0.0000 0.0000 6.9747
Tb Y Pd Ru
1 1 1 1
Direct
0.0000 0.0000 0.0000
0.0000 0.0000 0.5200
0.5000 0.5000 0.2592
0.5000 0.5000 0.7615
```



21.
Material: Tb2Zn5PdRu2
Method: DFT, PBE
State: optimized geometry

Results
The calculation puts the formation energy at -275 meV per atom. The density of states at the Fermi level is 12.9 states/eV/cell. As for the space group: No. 127. For the spin magnetization, the calculation gives 0.000 Bohr magnetons per cell.

```
Tb2Zn5PdRu2
1.0
9.9637 0.0000 0.0000
0.0000 9.9637 0.0000
0.0000 0.0000 3.5329
Tb Zn Pd Ru
4 10 2 4
Direct
0.1772 0.3229 0.0000
0.3229 0.8228 0.0000
0.6772 0.1772 0.0000
0.8228 0.6772 0.0000
0.0000 0.5000 0.5000
0.0543 0.8092 0.5000
0.1908 0.0543 0.5000
0.3092 0.5543 0.5000
0.4457 0.3092 0.5000
0.5000 0.0000 0.5000
0.5543 0.6908 0.5000
0.6908 0.4457 0.5000
0.8092 0.9457 0.5000
0.9457 0.1908 0.5000
0.0000 0.0000 0.0000
0.5000 0.5000 0.0000
0.1314 0.6314 0.0000
0.3686 0.1314 0.0000
0.6314 0.8686 0.0000
0.8686 0.3686 0.0000
```



22.
Material: TbZnPdRu
Method: DFT, PBE
State: optimized geometry

Results
The calculation puts the formation energy at -374 meV per atom. The density of states at the Fermi level is 2.3 states/eV/cell. As for the space group: No. 216. For the spin magnetization, the calculation gives 0.000 Bohr magnetons per cell.

```
TbZnPdRu
1.0
0.0000 3.2579 3.2579
3.2579 0.0000 3.2579
3.2579 3.2579 0.0000
Tb Zn Pd Ru
1 1 1 1
Direct
0.0000 0.0000 0.0000
0.5000 0.5000 0.5000
0.2500 0.2500 0.2500
0.7500 0.7500 0.7500
```



23.
Material: TbZrPdRu
Method: DFT, PBE
State: optimized geometry

Results
The calculation puts the formation energy at -570 meV per atom. The density of states at the Fermi level is 2.9 states/eV/cell. As for the space group: No. 216. For the spin magnetization, the calculation gives 0.000 Bohr magnetons per cell.

```
TbZrPdRu
1.0
0.0000 3.3878 3.3878
3.3878 0.0000 3.3878
3.3878 3.3878 0.0000
Tb Zr Pd Ru
1 1 1 1
Direct
0.0000 0.0000 0.0000
0.5000 0.5000 0.5000
0.2500 0.2500 0.2500
0.7500 0.7500 0.7500
```